An optimized crystal structure of Hg3W. Source: the Alexandria database, functional PBE-GGA.

Properties
Calculated total energy = -2.8509 eV per atom
Energy of formation from the pure elements = 614 meV per atom
Crystal system = hexagonal
Excess energy over the best structure of this formula in the dataset = 15.6 kJ/mol of atoms

a = 3.0488 Å, b = 3.0488 Å, c = 10.1360 Å
α = 90.00°, β = 90.00°, γ = 120.00°
Space group P-6m2 (No. 187)
One atom of each set of equivalent atoms:
Hg 0.0000 0.0000 0.0000 (multiplicity 1)
Hg 0.6667 0.3333 0.2667 (multiplicity 2)
W 0.0000 0.0000 0.5000 (multiplicity 1)